The following is a GGA+U calculation of an optimized crystal structure of BaInFeO4, from the Alexandria database.

Cell lengths 5.7485, 5.8665, 7.2242 Å; angles 90.00, 108.82, 90.00 degrees
Closest atoms and distances in Å follow each position.
Fractional coordinates of all 14 atoms:
Ba1 0.7216 0.7500 0.9442  2 O 2.52-2.56
Ba2 0.2784 0.2500 0.0558  2 O 2.52-2.56
In1 0.8274 0.7500 0.4673  5 O 2.15-2.27
In2 0.1726 0.2500 0.5327  5 O 2.15-2.27
Fe1 0.2729 0.7500 0.3410  4 O 1.85-1.96
Fe2 0.7271 0.2500 0.6590  4 O 1.85-1.96
O1 0.9823 0.4812 0.6920  1 Fe 1.96
O2 0.0177 0.9812 0.3080  1 Fe 1.96
O3 0.0177 0.5188 0.3080  1 Fe 1.96
O4 0.9823 0.0188 0.6920  1 Fe 1.96
O5 0.4496 0.7500 0.1637  1 Fe 1.87
O6 0.5504 0.2500 0.8363  1 Fe 1.87
O7 0.5234 0.7500 0.5784  1 Fe 1.85
O8 0.4766 0.2500 0.4216  1 Fe 1.85

## Properties
Total DFT energy (no corrections) = -84.71 eV for the cell shown